First-principles (PBE) data for a relaxed Rb2BI6N crystal, as listed in Alexandria.

Cell: 7.352 7.352 12.427 Å, 90.00 90.00 90.00°
Space group I4/mmm (No. 139)
One atom of each set of equivalent atoms:
Rb  0.000  0.500  0.250 (multiplicity 4)
B  0.000  0.000  0.000 (multiplicity 2)
I  0.000  0.000  0.295 (multiplicity 4)
I  0.235  0.235  0.000 (multiplicity 8)
N  0.000  0.000  0.500 (multiplicity 2)

Summary:
**Calculated density**: 4.733 g cm⁻³
**Volume**: 672 Å³ per cell
**Formation energy from raw total energies**: 88 meV per atom
**D(E_F)**: 0.982 states/eV/atom